# InSnI2Br (GGA-PBE, optimized geometry)
# energy above the most stable polymorph in this dataset	0.0000	eV per atom
# formation energy (no corrections)	-565	meV/atom
# magnetization	0.000	μB/atom
# energy	-2.8681	eV per atom
# space-group type	Cmcm (63)
# density of states at the Fermi level	0.000	states/eV/cell
data_InSnI2Br
_chemical_formula_sum 'In2 Sn2 I4 Br2'
_cell_length_a 4.603
_cell_length_b 7.922
_cell_length_c 11.206
_cell_angle_alpha 90.00
_cell_angle_beta 90.00
_cell_angle_gamma 106.89
_space_group_name_H-M_alt 'P 1'
_space_group_IT_number 1
loop_
_space_group_symop_operation_xyz
'x,y,z'
loop_
_atom_site_label
_atom_site_type_symbol
_atom_site_fract_x
_atom_site_fract_y
_atom_site_fract_z
In1 In 0.271 0.543 0.750
In2 In 0.729 0.457 0.250
Sn1 Sn 0.000 0.000 0.500
Sn2 Sn 0.000 0.000 0.000
I1 I 0.641 0.282 0.557
I2 I 0.359 0.718 0.443
I3 I 0.359 0.718 0.057
I4 I 0.641 0.282 0.943
Br1 Br 0.928 0.855 0.750
Br2 Br 0.072 0.145 0.250